No. 1
Compound: Sc2MnIn
Source: Alexandria
Functional: PBE
Structure: relaxed

POSCAR file:
```
Sc2MnIn
1.0
1.6081 0.9284 9.3686
-1.6081 0.9284 9.3686
0.0000 -1.8569 9.3686
Sc Mn In
2 1 1
direct
0.2418 0.2418 0.2418
0.7582 0.7582 0.7582
0.5000 0.5000 0.5000
0.0000 0.0000 0.0000
```

No. 2
Compound: ScMn2In
Source: Alexandria
Functional: PBE
Structure: relaxed

POSCAR file:
```
ScMn2In
1.0
1.5393 0.8887 9.1376
-1.5393 0.8887 9.1376
0.0000 -1.7774 9.1376
Sc Mn In
1 2 1
direct
0.0000 0.0000 0.0000
0.2513 0.2513 0.2513
0.7487 0.7487 0.7487
0.5000 0.5000 0.5000
```

No. 3
Compound: ScMn3In
Source: Alexandria
Functional: PBE
Structure: relaxed

POSCAR file:
```
ScMn3In
1.0
4.6989 0.0000 0.0000
0.0000 4.6989 0.0000
0.0000 0.0000 4.6989
Sc Mn In
1 3 1
direct
0.0000 0.0000 0.0000
0.0000 0.0000 0.5000
0.0000 0.5000 0.0000
0.5000 0.0000 0.0000
0.5000 0.5000 0.5000
```

Calculated values
Distance to the lowest polymorph of the same formula   0.091 eV/atom

No. 4
Compound: Sc2MnIn
Source: Alexandria
Functional: PBE
Structure: relaxed

POSCAR file:
```
Sc2MnIn
1.0
3.4340 -3.4398 0.0000
3.4340 3.4398 0.0000
0.0000 0.0000 3.5014
Sc Mn In
2 1 1
direct
0.0000 0.5000 0.0000
0.5000 0.0000 0.0000
0.0000 0.0000 0.5000
0.5000 0.5000 0.5000
```

No. 5
Compound: ScMn2In
Source: Alexandria
Functional: PBE
Structure: relaxed

POSCAR file:
```
ScMn2In
1.0
1.5600 0.9007 8.7182
-1.5600 0.9007 8.7182
0.0000 -1.8013 8.7182
Sc Mn In
1 2 1
direct
0.0000 0.0000 0.0000
0.2517 0.2517 0.2517
0.5212 0.5212 0.5212
0.7660 0.7660 0.7660
```

No. 6
Compound: Sc2MnIn
Source: Alexandria
Functional: PBE
Structure: relaxed

POSCAR file:
```
Sc2MnIn
1.0
0.0000 3.3918 3.3918
3.3918 0.0000 3.3918
3.3918 3.3918 0.0000
Sc Mn In
2 1 1
direct
0.0000 0.0000 0.0000
0.2500 0.2500 0.2500
0.7500 0.7500 0.7500
0.5000 0.5000 0.5000
```

| no. | electronic total energy (eV/f.u.) |
| --- | --- |
| 1 | -24.614 |
| 2 | -26.215 |
| 3 | -30.689 |
| 4 | -25.098 |
| 5 | -26.592 |
| 6 | -24.878 |